First-principles (PBE-GGA) data for a geometry-optimized CoAuSe2Br structure, as listed in Alexandria.

abc: 4.6023 4.6023 5.2126
angles: 90.00 90.00 90.00
Positions (direct):
Se1 0.5000 0.0000 0.0000
Co1 0.0000 0.0000 0.0000
Br1 0.0000 0.0000 0.5000
Se2 0.0000 0.5000 0.0000
Au1 0.5000 0.5000 0.5000

Output
Relative energy among the computed polymorphs   0.000 eV per atom
Calculated total energy   -3.33 eV/atom
Formation energy (no corrections)   0.477 eV/atom